Compound: CoMoIO2
Source: Alexandria
Functional: PBE with a Hubbard U
Structure: relaxed

Cell and atoms, written as POSCAR:
```
CoMoIO2
1.0
-3.388 -1.880 0.200
1.575 -2.581 2.431
-1.916 4.040 5.532
I Mo Co O
1 1 1 2
Direct
0.000 0.000 0.500
0.000 0.000 0.000
0.500 0.500 0.500
0.000 0.500 0.000
0.500 0.000 0.000
```

Computed properties:
calculated volume: 21.417 Å³/atom
E_tot: -25.1 eV/cell
distance to the lowest polymorph of the same formula: 0.0 meV per atom